Record 1
# KMoSe GGA-PBE optimized geometry
data_KMoSe
_space_group_name_H-M_alt 'F -4 3 m'
_space_group_IT_number 216
_space_group_name_Hall 'F -4 2 3'
_cell_length_a 7.247
_cell_length_b 7.247
_cell_length_c 7.247
_cell_angle_alpha 90.00
_cell_angle_beta 90.00
_cell_angle_gamma 90.00
loop_
_atom_site_label
_atom_site_type_symbol
_atom_site_fract_x
_atom_site_fract_y
_atom_site_fract_z
K1 K 0.000 0.000 0.000
Mo1 Mo 0.250 0.250 0.250
Se1 Se 0.250 0.250 0.750
# formation energy (no corrections): 1.2375 eV per atom
# polymorph energy (0 for the lowest one): 1.055 eV per atom
# Fermi-level density of states: 0.93 states/eV/f.u.
# crystal system: cubic
# magnetic moment: 20.0 μB per cell

Record 2
# KMo2Se GGA-PBE optimized geometry
data_KMo2Se
_space_group_name_H-M_alt 'I m m m'
_space_group_IT_number 71
_space_group_name_Hall '-I 2 2'
_cell_length_a 2.754
_cell_length_b 5.106
_cell_length_c 11.360
_cell_angle_alpha 90.00
_cell_angle_beta 90.00
_cell_angle_gamma 90.00
loop_
_atom_site_label
_atom_site_type_symbol
_atom_site_fract_x
_atom_site_fract_y
_atom_site_fract_z
K1 K 0.000 0.000 0.000
Mo1 Mo 0.000 0.500 0.204
Se1 Se 0.000 0.000 0.500
# formation energy (no corrections): 0.7284 eV per atom
# polymorph energy (0 for the lowest one): 0.435 eV per atom
# Fermi-level density of states: 3.24 states/eV/f.u.
# crystal system: orthorhombic
# magnetic moment: 0.0 μB per cell

Record 3
# KMoSe2 GGA-PBE optimized geometry
data_KMoSe2
_space_group_name_H-M_alt 'C 1 m 1'
_space_group_IT_number 8
_cell_length_a 7.812
_cell_length_b 3.457
_cell_length_c 7.714
_cell_angle_alpha 90.00
_cell_angle_beta 105.09
_cell_angle_gamma 90.00
loop_
_space_group_symop_operation_xyz
'x,y,z'
'x,-y,z'
'x+1/2,y+1/2,z'
'x+1/2,-y+1/2,z'
loop_
_atom_site_label
_atom_site_type_symbol
_atom_site_fract_x
_atom_site_fract_y
_atom_site_fract_z
K1 K 0.000 0.000 0.000
Mo1 Mo 0.287 0.000 0.540
Se1 Se 0.112 0.500 0.676
Se2 Se 0.283 0.500 0.303
# formation energy (no corrections): -0.4551 eV per atom
# Fermi-level density of states: 2.51 states/eV/f.u.
# crystal system: monoclinic
# magnetic moment: 0.0 μB per cell

Record 4
# KMoSe GGA-PBE optimized geometry
data_KMoSe
_space_group_name_H-M_alt 'I 4 m m'
_space_group_IT_number 107
_space_group_name_Hall 'I 4 -2'
_cell_length_a 3.266
_cell_length_b 3.266
_cell_length_c 13.189
_cell_angle_alpha 90.00
_cell_angle_beta 90.00
_cell_angle_gamma 90.00
loop_
_atom_site_label
_atom_site_type_symbol
_atom_site_fract_x
_atom_site_fract_y
_atom_site_fract_z
K1 K 0.000 0.000 0.000
Mo1 Mo 0.000 0.000 0.718
Se1 Se 0.000 0.000 0.305
# formation energy (no corrections): 0.1821 eV per atom
# polymorph energy (0 for the lowest one): 0.000 eV per atom
# Fermi-level density of states: 3.00 states/eV/f.u.
# crystal system: tetragonal
# magnetic moment: 0.0 μB per cell

Record 5
# KMoSe2 GGA-PBE optimized geometry
data_KMoSe2
_space_group_name_H-M_alt 'F -4 3 m'
_space_group_IT_number 216
_space_group_name_Hall 'F -4 2 3'
_cell_length_a 7.213
_cell_length_b 7.213
_cell_length_c 7.213
_cell_angle_alpha 90.00
_cell_angle_beta 90.00
_cell_angle_gamma 90.00
loop_
_atom_site_label
_atom_site_type_symbol
_atom_site_fract_x
_atom_site_fract_y
_atom_site_fract_z
K1 K 0.000 0.000 0.000
Mo1 Mo 0.250 0.250 0.750
Se1 Se 0.000 0.000 0.500
Se2 Se 0.250 0.250 0.250
# formation energy (no corrections): 0.7318 eV per atom
# Fermi-level density of states: 0.29 states/eV/f.u.
# crystal system: cubic
# magnetic moment: 12.0 μB per cell

Record 6
# KMo2Se GGA-PBE optimized geometry
data_KMo2Se
_space_group_name_H-M_alt 'R -3 m'
_space_group_IT_number 166
_space_group_name_Hall '-R 3 2"'
_cell_length_a 3.0230
_cell_length_b 3.0230
_cell_length_c 30.1785
_cell_angle_alpha 90.00
_cell_angle_beta 90.00
_cell_angle_gamma 120.00
loop_
_atom_site_label
_atom_site_type_symbol
_atom_site_fract_x
_atom_site_fract_y
_atom_site_fract_z
K1 K 0.0000 0.0000 0.0000
Mo1 Mo 0.0000 0.0000 0.2310
Se1 Se 0.0000 0.0000 0.5000
# formation energy (no corrections): 0.8188 eV per atom
# polymorph energy (0 for the lowest one): 0.525 eV per atom
# Fermi-level density of states: 4.24 states/eV/f.u.
# crystal system: trigonal
# magnetic moment: 0.0 μB per cell

Record 7
# KMo2Se GGA-PBE optimized geometry
data_KMo2Se
_space_group_name_H-M_alt 'C m m m'
_space_group_IT_number 65
_space_group_name_Hall '-C 2 2'
_cell_length_a 3.191
_cell_length_b 4.918
_cell_length_c 10.208
_cell_angle_alpha 90.00
_cell_angle_beta 90.00
_cell_angle_gamma 90.00
loop_
_atom_site_label
_atom_site_type_symbol
_atom_site_fract_x
_atom_site_fract_y
_atom_site_fract_z
K1 K 0.000 0.000 0.000
Mo1 Mo 0.000 0.500 0.302
Se1 Se 0.000 0.000 0.500
# formation energy (no corrections): 1.0095 eV per atom
# polymorph energy (0 for the lowest one): 0.716 eV per atom
# Fermi-level density of states: 3.85 states/eV/f.u.
# crystal system: orthorhombic
# magnetic moment: 0.0 μB per cell

Record 8
# KMoSe2 GGA-PBE optimized geometry
data_KMoSe2
_space_group_name_H-M_alt 'P 4 m m'
_space_group_IT_number 99
_cell_length_a 3.139
_cell_length_b 3.139
_cell_length_c 10.226
_cell_angle_alpha 90.00
_cell_angle_beta 90.00
_cell_angle_gamma 90.00
loop_
_space_group_symop_operation_xyz
'x,y,z'
'-y,x,z'
'-x,-y,z'
'y,-x,z'
'-x,y,z'
'y,x,z'
'x,-y,z'
'-y,-x,z'
loop_
_atom_site_label
_atom_site_type_symbol
_atom_site_fract_x
_atom_site_fract_y
_atom_site_fract_z
K1 K 0.000 0.000 0.000
Mo1 Mo 0.500 0.500 0.310
Se1 Se 0.000 0.000 0.432
Se2 Se 0.500 0.500 0.765
# formation energy (no corrections): 0.1412 eV per atom
# Fermi-level density of states: 1.57 states/eV/f.u.
# crystal system: tetragonal
# magnetic moment: 0.8 μB per cell

Which of these has the lowest formation energy (no corrections)?
number 3